No. 1
A plane-wave DFT calculation with PBE-GGA was carried out for a relaxed structure of Rb2Na3Cd.

Structure (POSCAR):
```
Rb2Na3Cd
1.0
-2.729 3.432 8.210
2.729 -3.432 8.210
2.729 3.432 -8.210
Rb Na Cd
2 3 1
Cartesian
0.000 0.000 3.410
0.000 0.000 13.010
2.729 0.000 0.000
2.729 0.000 6.610
0.000 3.432 1.600
0.000 0.000 8.210
```

## Properties
- E_tot: -1.049 eV/atom
- DOS(E_F): 2.786 states/eV per cell
- Relative energy among the computed polymorphs: 85 meV per atom
- DFT formation energy: 0.09 eV/atom
- Spin magnetization: 0.00 μB/cell
- Symmetry: Immm, No. 71

=====

No. 2
A plane-wave DFT calculation with PBE-GGA was carried out for a relaxed structure of HfGeSb2I.

Structure (POSCAR):
```
HfGeSb2I
1.0
5.604 0.000 0.000
0.000 5.604 0.000
0.000 0.000 5.495
Hf Ge Sb I
1 1 2 1
Cartesian
0.000 0.000 0.000
2.802 2.802 2.748
0.000 2.802 0.000
2.802 0.000 0.000
0.000 0.000 2.748
```

## Properties
- E_tot: -4.425 eV/atom
- DOS(E_F): 5.125 states/eV per cell
- Relative energy among the computed polymorphs: 0 meV per atom
- Spin magnetization: 0.00 μB/cell
- Symmetry: P4/mmm, No. 123

=====

No. 3
A plane-wave DFT calculation with PBE-GGA was carried out for a relaxed structure of Zn2Cd13.

Structure (POSCAR):
```
Zn2Cd13
1.0
5.232 0.000 0.000
0.778 8.490 0.000
1.649 4.091 7.457
Zn Cd
2 13
Cartesian
0.647 1.610 0.801
7.011 10.970 6.655
0.824 2.045 3.728
2.086 5.018 5.381
1.868 4.692 2.283
3.271 8.130 6.722
3.067 7.677 3.672
2.858 7.225 0.653
4.292 10.706 5.235
3.367 1.875 2.222
4.800 5.355 6.803
4.592 4.903 3.785
4.388 4.451 0.735
5.791 7.889 5.173
5.573 7.563 2.076
```

## Properties
- E_tot: -0.930 eV/atom
- DOS(E_F): 4.452 states/eV per cell
- DFT formation energy: 0.03 eV/atom
- Spin magnetization: 0.00 μB/cell
- Symmetry: P-1, No. 2